## In2CoPb (GGA-PBE)

Data for a relaxed structure of In2CoPb.

Calculated values
* final energy: -28.919 eV for the cell shown
* D(E_F): 4.0 states/eV/f.u.
* energy of formation: 0.46 eV per atom

Unit cell a=4.4024 b=4.4024 c=9.2557 alpha=90.00 beta=90.00 gamma=90.00
Space group I4/mmm (No. 139)
One atom of each set of equivalent atoms:
In (0.0000, 0.5000, 0.2500) [4 per cell]
Co (0.0000, 0.0000, 0.0000) [2 per cell]
Pb (0.0000, 0.0000, 0.5000) [2 per cell]

***

## In2CoPb (GGA-PBE)

Data for a relaxed structure of In2CoPb.

Calculated values
* final energy: -60.668 eV for the cell shown
* D(E_F): 3.3 states/eV/f.u.
* energy of formation: 0.28 eV per atom

Unit cell a=8.9860 b=8.9860 c=5.0073 alpha=90.00 beta=90.00 gamma=90.00
Space group I-42d (No. 122)
One atom of each set of equivalent atoms:
In (0.1339, 0.2500, 0.1250) [8 per cell]
Co (0.0000, 0.0000, 0.0000) [4 per cell]
Pb (0.0000, 0.0000, 0.5000) [4 per cell]

***

## In2CoPb (GGA-PBE)

Data for a relaxed structure of In2CoPb.

Calculated values
* final energy: -31.017 eV for the cell shown
* D(E_F): 2.8 states/eV/f.u.
* energy of formation: 0.20 eV per atom

Unit cell a=3.3292 b=4.9735 c=12.0896 alpha=90.00 beta=90.00 gamma=90.00
Space group Amm2 (No. 38)
One atom of each set of equivalent atoms:
In (0.0000, 0.0000, 0.0000) [2 per cell]
In (0.5000, 0.0000, 0.3387) [2 per cell]
Co (0.5000, 0.0000, 0.8348) [2 per cell]
Pb (0.0000, 0.0000, 0.6637) [2 per cell]

***

## InCo3Pb (GGA-PBE)

Data for a relaxed structure of InCo3Pb.

Calculated values
* polymorph energy (0 for the lowest one): 124 meV/atom
* final energy: -20.657 eV for the cell shown
* D(E_F): 15.3 states/eV/f.u.
* energy of formation: 1.42 eV per atom

Unit cell a=4.8116 b=4.8116 c=4.8116 alpha=90.00 beta=90.00 gamma=90.00
Space group Pm-3m (No. 221)
One atom of each set of equivalent atoms:
In (0.0000, 0.0000, 0.0000) [1 per cell]
Co (0.0000, 0.5000, 0.5000) [3 per cell]
Pb (0.5000, 0.5000, 0.5000) [1 per cell]

***

## In4CoPb2 (GGA-PBE)

Data for a relaxed structure of In4CoPb2.

Calculated values
* final energy: -49.458 eV for the cell shown
* D(E_F): 3.0 states/eV/f.u.
* energy of formation: 0.11 eV per atom

Unit cell a=4.8366 b=4.8366 c=18.2553 alpha=90.00 beta=90.00 gamma=90.00
Space group I4/mmm (No. 139)
One atom of each set of equivalent atoms:
In (0.0000, 0.0000, 0.1357) [4 per cell]
In (0.0000, 0.5000, 0.0000) [4 per cell]
Co (0.0000, 0.0000, 0.0000) [2 per cell]
Pb (0.0000, 0.0000, 0.2959) [4 per cell]

***

## RbIn2CoPb (GGA-PBE)

Data for a relaxed structure of RbIn2CoPb.

Calculated values
* final energy: -16.931 eV for the cell shown
* D(E_F): 4.1 states/eV/f.u.
* energy of formation: 0.07 eV per atom

Unit cell a=5.1569 b=5.1569 c=5.2394 alpha=90.00 beta=90.00 gamma=90.00
Space group P4/mmm (No. 123)
One atom of each set of equivalent atoms:
Rb (0.0000, 0.0000, 0.0000) [1 per cell]
In (0.0000, 0.5000, 0.5000) [2 per cell]
Co (0.5000, 0.5000, 0.5000) [1 per cell]
Pb (0.5000, 0.5000, 0.0000) [1 per cell]

***

## InCo2RuPb (GGA-PBE)

Data for a relaxed structure of InCo2RuPb.

Calculated values
* final energy: -20.391 eV for the cell shown
* D(E_F): 6.3 states/eV/f.u.
* energy of formation: 1.91 eV per atom

Unit cell a=4.7375 b=4.7375 c=5.4741 alpha=90.00 beta=90.00 gamma=90.00
Space group P4/mmm (No. 123)
One atom of each set of equivalent atoms:
In (0.0000, 0.0000, 0.0000) [1 per cell]
Co (0.0000, 0.5000, 0.5000) [2 per cell]
Ru (0.5000, 0.5000, 0.0000) [1 per cell]
Pb (0.0000, 0.0000, 0.5000) [1 per cell]

***

## InCo2SbPb (GGA-PBE)

Data for a relaxed structure of InCo2SbPb.

Calculated values
* final energy: -20.315 eV for the cell shown
* D(E_F): 8.0 states/eV/f.u.

Unit cell a=4.7746 b=4.7746 c=6.0665 alpha=90.00 beta=90.00 gamma=90.00
Space group P4/mmm (No. 123)
One atom of each set of equivalent atoms:
In (0.0000, 0.0000, 0.0000) [1 per cell]
Co (0.0000, 0.5000, 0.5000) [2 per cell]
Sb (0.5000, 0.5000, 0.5000) [1 per cell]
Pb (0.5000, 0.5000, 0.0000) [1 per cell]

***

## ScIn2CoPb (GGA-PBE)

Data for a relaxed structure of ScIn2CoPb.

Calculated values
* final energy: -22.993 eV for the cell shown
* D(E_F): 2.6 states/eV/f.u.
* energy of formation: -0.07 eV per atom

Unit cell a=5.0064 b=5.0064 c=4.7110 alpha=90.00 beta=90.00 gamma=90.00
Space group P4/mmm (No. 123)
One atom of each set of equivalent atoms:
Sc (0.0000, 0.0000, 0.0000) [1 per cell]
In (0.0000, 0.5000, 0.5000) [2 per cell]
Co (0.0000, 0.0000, 0.5000) [1 per cell]
Pb (0.5000, 0.5000, 0.0000) [1 per cell]

***

## InCoSi2Pb (GGA-PBE)

Data for a relaxed structure of InCoSi2Pb.

Calculated values
* final energy: -17.474 eV for the cell shown
* D(E_F): 6.3 states/eV/f.u.

Unit cell a=5.3227 b=5.3227 c=4.8788 alpha=90.00 beta=90.00 gamma=90.00
Space group P4/mmm (No. 123)
One atom of each set of equivalent atoms:
In (0.0000, 0.0000, 0.0000) [1 per cell]
Co (0.5000, 0.5000, 0.0000) [1 per cell]
Si (0.0000, 0.5000, 0.5000) [2 per cell]
Pb (0.5000, 0.5000, 0.5000) [1 per cell]

***

## In2CoSnPb (GGA-PBE)

Data for a relaxed structure of In2CoSnPb.

Calculated values
* final energy: -19.761 eV for the cell shown
* D(E_F): 2.8 states/eV/f.u.
* energy of formation: 0.11 eV per atom

Unit cell a=5.0465 b=5.0465 c=4.9145 alpha=90.00 beta=90.00 gamma=90.00
Space group P4/mmm (No. 123)
One atom of each set of equivalent atoms:
In (0.0000, 0.5000, 0.0000) [2 per cell]
Co (0.0000, 0.0000, 0.0000) [1 per cell]
Sn (0.0000, 0.0000, 0.5000) [1 per cell]
Pb (0.5000, 0.5000, 0.5000) [1 per cell]

***

## InCoSn2Pb (GGA-PBE)

Data for a relaxed structure of InCoSn2Pb.

Calculated values
* polymorph energy (0 for the lowest one): 14 meV/atom
* final energy: -20.918 eV for the cell shown
* D(E_F): 3.5 states/eV/f.u.
* energy of formation: 0.13 eV per atom

Unit cell a=4.9835 b=4.9835 c=5.2171 alpha=90.00 beta=90.00 gamma=90.00
Space group P4/mmm (No. 123)
One atom of each set of equivalent atoms:
In (0.0000, 0.0000, 0.0000) [1 per cell]
Co (0.5000, 0.5000, 0.5000) [1 per cell]
Sn (0.0000, 0.5000, 0.5000) [2 per cell]
Pb (0.5000, 0.5000, 0.0000) [1 per cell]

***

## InCoSn2Pb (GGA-PBE)

Data for a relaxed structure of InCoSn2Pb.

Calculated values
* polymorph energy (0 for the lowest one): 0 meV/atom
* final energy: -20.991 eV for the cell shown
* D(E_F): 4.9 states/eV/f.u.
* energy of formation: 0.11 eV per atom

Unit cell a=4.9895 b=4.9895 c=5.0757 alpha=90.00 beta=90.00 gamma=90.00
Space group P4/mmm (No. 123)
One atom of each set of equivalent atoms:
In (0.0000, 0.0000, 0.0000) [1 per cell]
Co (0.0000, 0.0000, 0.5000) [1 per cell]
Sn (0.0000, 0.5000, 0.5000) [2 per cell]
Pb (0.5000, 0.5000, 0.0000) [1 per cell]

***

## InCoTePb2 (GGA-PBE)

Data for a relaxed structure of InCoTePb2.

Calculated values
* final energy: -20.571 eV for the cell shown
* D(E_F): 1.3 states/eV/f.u.

Unit cell a=5.1299 b=5.1299 c=5.0627 alpha=90.00 beta=90.00 gamma=90.00
Space group P4/mmm (No. 123)
One atom of each set of equivalent atoms:
In (0.0000, 0.0000, 0.0000) [1 per cell]
Co (0.0000, 0.0000, 0.5000) [1 per cell]
Te (0.5000, 0.5000, 0.0000) [1 per cell]
Pb (0.0000, 0.5000, 0.5000) [2 per cell]

***

## TlIn2CoPb (GGA-PBE)

Data for a relaxed structure of TlIn2CoPb.

Calculated values
* polymorph energy (0 for the lowest one): 85 meV/atom
* final energy: -17.745 eV for the cell shown
* D(E_F): 4.2 states/eV/f.u.
* energy of formation: 0.18 eV per atom

Unit cell a=5.0231 b=5.0231 c=5.0812 alpha=90.00 beta=90.00 gamma=90.00
Space group P4/mmm (No. 123)
One atom of each set of equivalent atoms:
Tl (0.0000, 0.0000, 0.0000) [1 per cell]
In (0.0000, 0.5000, 0.5000) [2 per cell]
Co (0.0000, 0.0000, 0.5000) [1 per cell]
Pb (0.5000, 0.5000, 0.0000) [1 per cell]

***

## TlInCoPb2 (GGA-PBE)

Data for a relaxed structure of TlInCoPb2.

Calculated values
* polymorph energy (0 for the lowest one): 0 meV/atom
* final energy: -18.864 eV for the cell shown
* D(E_F): 4.1 states/eV/f.u.
* energy of formation: 0.15 eV per atom

Unit cell a=5.1359 b=5.1359 c=5.0899 alpha=90.00 beta=90.00 gamma=90.00
Space group P4/mmm (No. 123)
One atom of each set of equivalent atoms:
Tl (0.0000, 0.0000, 0.0000) [1 per cell]
In (0.5000, 0.5000, 0.0000) [1 per cell]
Co (0.5000, 0.5000, 0.5000) [1 per cell]
Pb (0.0000, 0.5000, 0.5000) [2 per cell]

***

## TlInCoPb2 (GGA-PBE)

Data for a relaxed structure of TlInCoPb2.

Calculated values
* polymorph energy (0 for the lowest one): 64 meV/atom
* final energy: -18.545 eV for the cell shown
* D(E_F): 4.4 states/eV/f.u.
* energy of formation: 0.22 eV per atom

Unit cell a=5.1392 b=5.1392 c=5.1592 alpha=90.00 beta=90.00 gamma=90.00
Space group P4/mmm (No. 123)
One atom of each set of equivalent atoms:
Tl (0.0000, 0.0000, 0.0000) [1 per cell]
In (0.5000, 0.5000, 0.0000) [1 per cell]
Co (0.0000, 0.0000, 0.5000) [1 per cell]
Pb (0.0000, 0.5000, 0.5000) [2 per cell]

***

## TlIn2CoPb (GGA-PBE)

Data for a relaxed structure of TlIn2CoPb.

Calculated values
* polymorph energy (0 for the lowest one): 0 meV/atom
* final energy: -18.171 eV for the cell shown
* D(E_F): 4.3 states/eV/f.u.
* energy of formation: 0.10 eV per atom

Unit cell a=5.0687 b=5.0687 c=5.0416 alpha=90.00 beta=90.00 gamma=90.00
Space group P4/mmm (No. 123)
One atom of each set of equivalent atoms:
Tl (0.0000, 0.0000, 0.0000) [1 per cell]
In (0.0000, 0.5000, 0.5000) [2 per cell]
Co (0.5000, 0.5000, 0.5000) [1 per cell]
Pb (0.5000, 0.5000, 0.0000) [1 per cell]

***

## InCoPbW2 (GGA-PBE)

Data for a relaxed structure of InCoPbW2.

Calculated values
* final energy: -26.885 eV for the cell shown
* D(E_F): 9.7 states/eV/f.u.
* energy of formation: 2.51 eV per atom

Unit cell a=5.0535 b=5.0535 c=4.7058 alpha=90.00 beta=90.00 gamma=90.00
Space group P4/mmm (No. 123)
One atom of each set of equivalent atoms:
In (0.0000, 0.0000, 0.0000) [1 per cell]
Co (0.5000, 0.5000, 0.0000) [1 per cell]
Pb (0.5000, 0.5000, 0.5000) [1 per cell]
W (0.0000, 0.5000, 0.5000) [2 per cell]

***

## Y2InCoPb (GGA-PBE)

Data for a relaxed structure of Y2InCoPb.

Calculated values
* final energy: -27.810 eV for the cell shown
* D(E_F): 3.4 states/eV/f.u.
* energy of formation: -0.27 eV per atom

Unit cell a=5.1368 b=5.1368 c=4.9257 alpha=90.00 beta=90.00 gamma=90.00
Space group P4/mmm (No. 123)
One atom of each set of equivalent atoms:
Y (0.0000, 0.5000, 0.0000) [2 per cell]
In (0.0000, 0.0000, 0.5000) [1 per cell]
Co (0.0000, 0.0000, 0.0000) [1 per cell]
Pb (0.5000, 0.5000, 0.5000) [1 per cell]